Entry from Alexandria: a geometry-optimized MgZrPb2 structure (PBE).

spin magnetization = 0.00 μB per cell
final energy = -4.4663 eV per atom
DFT formation energy = -0.076 eV/atom
space group = Cm, No. 8
crystal system = monoclinic

Lattice parameters (Å, degrees): 11.6762 3.3263 5.4245 90.00 108.79 90.00
Closest atoms and distances in Å follow each position.
Element x y z (fractional)
Mg (0.0000, 0.0000, 0.0000)  7 Pb 3.10-3.28, 2 Mg 3.33, 2 Zr 3.36
Mg (0.5000, 0.5000, 0.0000)  7 Pb 3.10-3.28, 2 Mg 3.33, 2 Zr 3.36
Zr (0.2617, 0.0000, 0.6014)  7 Pb 3.15-3.21, 2 Zr 3.33, 2 Mg 3.36
Zr (0.7617, 0.5000, 0.6014)  7 Pb 3.15-3.21, 2 Zr 3.33, 2 Mg 3.36
Pb (0.0173, 0.5000, 0.5241)  4 Mg 3.13-3.24, 3 Zr 3.15-3.21, 3 Pb 3.33-3.43
Pb (0.2529, 0.5000, 0.1003)  3 Mg 3.10-3.28, 4 Zr 3.16-3.21, 3 Pb 3.33-3.43
Pb (0.5173, 0.0000, 0.5241)  4 Mg 3.13-3.24, 3 Zr 3.15-3.21, 3 Pb 3.33-3.43
Pb (0.7529, 0.0000, 0.1003)  3 Mg 3.10-3.28, 4 Zr 3.16-3.21, 3 Pb 3.33-3.43